Entry 1:
Here is a relaxed structure of K3PrPu2Se6 from Alexandria via LeMat-Bulk. Energies are from GGA-PBE.

Results
- ΔE_f (raw): -1.55 eV per atom
- Electronic total energy: -6.357 eV per atom
- Spin magnetization: 10.00 μB/f.u.

abc: 7.478 7.478 8.060
angles: 98.90 98.90 120.00
Fractional coordinates of all 12 atoms:
K (0.000, 0.000, 0.000)
K (0.334, 0.666, 0.000)
K (0.666, 0.334, 0.000)
Pr (0.500, 0.500, 0.500)
Pu (0.167, 0.833, 0.500)
Pu (0.833, 0.167, 0.500)
Se (0.090, 0.431, 0.292)
Se (0.228, 0.228, 0.708)
Se (0.431, 0.090, 0.292)
Se (0.569, 0.910, 0.708)
Se (0.772, 0.772, 0.292)
Se (0.910, 0.569, 0.708)

=====

Entry 2:
Here is a relaxed structure of K4PrPu3Se8 from Alexandria via LeMat-Bulk. Energies are from GGA-PBE.

Results
- ΔE_f (raw): -1.53 eV per atom
- Electronic total energy: -6.535 eV per atom
- Spin magnetization: 15.00 μB/f.u.

abc: 9.128 9.128 9.128
angles: 56.39 56.39 56.39
Fractional coordinates of all 16 atoms:
K (0.000, 0.000, 0.000)
K (0.000, 0.500, 0.500)
K (0.500, 0.000, 0.500)
K (0.500, 0.500, 0.000)
Pr (0.500, 0.500, 0.500)
Pu (0.000, 0.000, 0.500)
Pu (0.000, 0.500, 0.000)
Pu (0.500, 0.000, 0.000)
Se (0.230, 0.739, 0.739)
Se (0.234, 0.234, 0.234)
Se (0.261, 0.261, 0.770)
Se (0.261, 0.770, 0.261)
Se (0.739, 0.230, 0.739)
Se (0.739, 0.739, 0.230)
Se (0.766, 0.766, 0.766)
Se (0.770, 0.261, 0.261)

=====

Entry 3:
Here is a relaxed structure of K3Pr2PuSe6 from Alexandria via LeMat-Bulk. Energies are from GGA-PBE.

Results
- ΔE_f (raw): -1.64 eV per atom
- Electronic total energy: -5.648 eV per atom
- Spin magnetization: 5.00 μB/f.u.

abc: 7.554 7.554 8.078
angles: 98.97 98.97 120.00
Fractional coordinates of all 12 atoms:
K (0.000, 0.000, 0.000)
K (0.332, 0.668, 0.000)
K (0.668, 0.332, 0.000)
Pr (0.166, 0.834, 0.500)
Pr (0.834, 0.166, 0.500)
Pu (0.500, 0.500, 0.500)
Se (0.102, 0.430, 0.290)
Se (0.243, 0.243, 0.710)
Se (0.430, 0.102, 0.290)
Se (0.570, 0.898, 0.710)
Se (0.757, 0.757, 0.290)
Se (0.898, 0.570, 0.710)

=====

Entry 4:
Here is a relaxed structure of K3Pr3PuSe8 from Alexandria via LeMat-Bulk. Energies are from GGA-PBE.

Results
- ΔE_f (raw): -1.63 eV per atom
- Electronic total energy: -5.622 eV per atom
- Spin magnetization: 4.00 μB/f.u.

abc: 9.268 9.268 9.268
angles: 55.72 55.72 55.72
Fractional coordinates of all 15 atoms:
K (0.000, 0.500, 0.500)
K (0.500, 0.000, 0.500)
K (0.500, 0.500, 0.000)
Pr (0.000, 0.000, 0.500)
Pr (0.000, 0.500, 0.000)
Pr (0.500, 0.000, 0.000)
Pu (0.500, 0.500, 0.500)
Se (0.237, 0.237, 0.237)
Se (0.249, 0.726, 0.726)
Se (0.274, 0.274, 0.751)
Se (0.274, 0.751, 0.274)
Se (0.726, 0.249, 0.726)
Se (0.726, 0.726, 0.249)
Se (0.751, 0.274, 0.274)
Se (0.763, 0.763, 0.763)

=====

Entry 5:
Here is a relaxed structure of KPr2Pu3Se6 from Alexandria via LeMat-Bulk. Energies are from GGA-PBE.

Results
- ΔE_f (raw): -1.60 eV per atom
- Electronic total energy: -7.810 eV per atom
- Spin magnetization: 5.88 μB/f.u.

abc: 9.520 9.520 8.586
angles: 102.85 102.85 25.59
Fractional coordinates of all 12 atoms:
K (0.000, 0.000, 0.000)
Pr (0.332, 0.332, 0.662)
Pr (0.668, 0.668, 0.338)
Pu (0.000, 0.000, 0.500)
Pu (0.334, 0.334, 0.167)
Pu (0.666, 0.666, 0.833)
Se (0.164, 0.164, 0.590)
Se (0.173, 0.173, 0.082)
Se (0.500, 0.500, 0.268)
Se (0.500, 0.500, 0.732)
Se (0.827, 0.827, 0.918)
Se (0.836, 0.836, 0.410)

=====

Entry 6:
Here is a relaxed structure of KPrPu2Se4 from Alexandria via LeMat-Bulk. Energies are from GGA-PBE.

Results
- ΔE_f (raw): -1.54 eV per atom
- Electronic total energy: -7.601 eV per atom
- Spin magnetization: 0.21 μB/f.u.

abc: 7.442 4.236 7.490
angles: 90.00 109.01 90.00
Fractional coordinates of all 8 atoms:
K (0.000, 0.000, 0.000)
Pr (0.000, 0.500, 0.500)
Pu (0.500, 0.000, 0.500)
Pu (0.500, 0.500, 0.000)
Se (0.262, 0.000, 0.749)
Se (0.270, 0.500, 0.269)
Se (0.730, 0.500, 0.731)
Se (0.738, 0.000, 0.251)

=====

Entry 7:
Here is a relaxed structure of KPr3Pu2Te6 from Alexandria via LeMat-Bulk. Energies are from GGA-PBE.

Results
- ΔE_f (raw): -1.29 eV per atom
- Electronic total energy: -6.536 eV per atom
- Spin magnetization: 11.96 μB/f.u.

abc: 10.193 10.193 9.190
angles: 103.17 103.17 25.58
Fractional coordinates of all 12 atoms:
K (0.000, 0.000, 0.000)
Pr (0.000, 0.000, 0.500)
Pr (0.336, 0.336, 0.170)
Pr (0.664, 0.664, 0.830)
Pu (0.332, 0.332, 0.665)
Pu (0.668, 0.668, 0.335)
Te (0.168, 0.168, 0.578)
Te (0.171, 0.171, 0.089)
Te (0.497, 0.497, 0.739)
Te (0.503, 0.503, 0.261)
Te (0.829, 0.829, 0.911)
Te (0.832, 0.832, 0.422)

=====

Entry 8:
Here is a relaxed structure of K3PrPu2Te6 from Alexandria via LeMat-Bulk. Energies are from GGA-PBE.

Results
- ΔE_f (raw): -1.21 eV per atom
- Electronic total energy: -5.842 eV per atom
- Spin magnetization: 10.00 μB/f.u.

abc: 7.962 7.962 8.632
angles: 98.85 98.85 120.00
Fractional coordinates of all 12 atoms:
K (0.000, 0.000, 0.000)
K (0.335, 0.665, 0.000)
K (0.665, 0.335, 0.000)
Pr (0.500, 0.500, 0.500)
Pu (0.167, 0.833, 0.500)
Pu (0.833, 0.167, 0.500)
Te (0.090, 0.429, 0.288)
Te (0.231, 0.231, 0.711)
Te (0.429, 0.090, 0.288)
Te (0.571, 0.910, 0.712)
Te (0.769, 0.769, 0.289)
Te (0.910, 0.571, 0.712)